DFT (PBE) results for a relaxed structure of Ag2HgTeI2.

Geometry as CIF:
```
data_Ag2HgTeI2
_chemical_formula_sum 'Ag8 Hg4 Te4 I8'
_space_group_name_H-M_alt 'C m c 21'
_space_group_IT_number 36
_cell_length_a 14.5210
_cell_length_b 7.9262
_cell_length_c 7.6092
_cell_angle_alpha 90.00
_cell_angle_beta 90.00
_cell_angle_gamma 90.00
loop_
_space_group_symop_operation_xyz
'x,y,z'
'-x,-y,z+1/2'
'-x,y,z'
'x,-y,z+1/2'
'x+1/2,y+1/2,z'
'-x+1/2,-y+1/2,z+1/2'
'-x+1/2,y+1/2,z'
'x+1/2,-y+1/2,z+1/2'
loop_
_atom_site_label
_atom_site_type_symbol
_atom_site_fract_x
_atom_site_fract_y
_atom_site_fract_z
_atom_site_occupancy
Ag1 Ag 0.1708 0.1518 0.0000 1
Hg1 Hg 0.0000 0.4350 0.4349 1
Te1 Te 0.0000 0.2716 0.1197 1
I1 I 0.1638 0.1949 0.6212 1
```

The uncorrected formation energy is -225 meV per atom. The calculation puts the volume at 876 Å³ per cell. As for the electronic total energy: -2.266 eV per atom.

DFT (PBE) results for a relaxed structure of CaPrCl.

Geometry as CIF:
```
data_CaPrCl
_chemical_formula_sum 'Ca2 Pr2 Cl2'
_space_group_name_H-M_alt 'P -6 m 2'
_space_group_IT_number 187
_space_group_name_Hall 'P -6 2'
_cell_length_a 3.7312
_cell_length_b 3.7312
_cell_length_c 14.9062
_cell_angle_alpha 90.00
_cell_angle_beta 90.00
_cell_angle_gamma 120.00
loop_
_atom_site_label
_atom_site_type_symbol
_atom_site_fract_x
_atom_site_fract_y
_atom_site_fract_z
_atom_site_occupancy
Ca1 Ca 0.0000 0.0000 0.0000 1
Ca2 Ca 0.3333 0.6667 0.5000 1
Pr1 Pr 0.3333 0.6667 0.2122 1
Cl1 Cl 0.0000 0.0000 0.3688 1
```

The uncorrected formation energy is -921 meV per atom. The calculation puts the volume at 180 Å³ per cell. As for the electronic total energy: -3.797 eV per atom.

DFT (PBE) results for a relaxed structure of HfMoRhW2.

Geometry as CIF:
```
data_HfMoRhW2
_chemical_formula_sum 'Hf1 Mo1 Rh1 W2'
_space_group_name_H-M_alt 'P 4/m m m'
_space_group_IT_number 123
_space_group_name_Hall '-P 4 2'
_cell_length_a 4.7884
_cell_length_b 4.7884
_cell_length_c 4.5443
_cell_angle_alpha 90.00
_cell_angle_beta 90.00
_cell_angle_gamma 90.00
loop_
_atom_site_label
_atom_site_type_symbol
_atom_site_fract_x
_atom_site_fract_y
_atom_site_fract_z
_atom_site_occupancy
Hf1 Hf 0.0000 0.0000 0.0000 1
Mo1 Mo 0.5000 0.5000 0.5000 1
Rh1 Rh 0.0000 0.0000 0.5000 1
W1 W 0.0000 0.5000 0.0000 1
```

Its formation enthalpy at 0 K is 2.205 eV per atom. The calculation puts the volume at 104 Å³ per cell. As for the electronic total energy: -8.604 eV per atom.

DFT (PBE) results for a relaxed structure of Nd2ScGa4Cu3.

Geometry as CIF:
```
data_Nd2ScGa4Cu3
_chemical_formula_sum 'Nd2 Sc1 Ga4 Cu3'
_space_group_name_H-M_alt 'P -4 m 2'
_space_group_IT_number 115
_cell_length_a 4.1782
_cell_length_b 4.1782
_cell_length_c 11.1313
_cell_angle_alpha 90.00
_cell_angle_beta 90.00
_cell_angle_gamma 90.00
loop_
_space_group_symop_operation_xyz
'x,y,z'
'y,-x,-z'
'-x,-y,z'
'-y,x,-z'
'-x,y,z'
'-y,-x,-z'
'x,-y,z'
'y,x,-z'
loop_
_atom_site_label
_atom_site_type_symbol
_atom_site_fract_x
_atom_site_fract_y
_atom_site_fract_z
_atom_site_occupancy
Nd1 Nd 0.0000 0.5000 0.2328 1
Sc1 Sc 0.0000 0.0000 0.5000 1
Ga1 Ga 0.0000 0.0000 0.0000 1
Ga2 Ga 0.0000 0.5000 0.6586 1
Ga3 Ga 0.5000 0.5000 0.0000 1
Cu1 Cu 0.0000 0.5000 0.8767 1
Cu2 Cu 0.5000 0.5000 0.5000 1
```

Its formation enthalpy at 0 K is -0.446 eV per atom. The calculation puts the volume at 194 Å³ per cell. As for the electronic total energy: -4.472 eV per atom.

DFT (PBE) results for a relaxed structure of Li3PrC4O12.

Geometry as CIF:
```
data_Li3PrC4O12
_chemical_formula_sum 'Li9 Pr3 C12 O36'
_space_group_name_H-M_alt 'R 3 2'
_space_group_IT_number 155
_space_group_name_Hall 'R 3 2"'
_cell_length_a 9.6768
_cell_length_b 9.6768
_cell_length_c 8.2003
_cell_angle_alpha 90.00
_cell_angle_beta 90.00
_cell_angle_gamma 120.00
loop_
_atom_site_label
_atom_site_type_symbol
_atom_site_fract_x
_atom_site_fract_y
_atom_site_fract_z
_atom_site_occupancy
Li1 Li 0.0000 0.5515 0.0000 1
Pr1 Pr 0.0000 0.0000 0.0000 1
C1 C 0.0000 0.0000 0.5000 1
C2 C 0.0000 0.4496 0.5000 1
O1 O 0.0000 0.5823 0.5000 1
O2 O 0.0000 0.8676 0.5000 1
O3 O 0.0163 0.2147 0.1733 1
```

The uncorrected formation energy is -1732 meV per atom. The calculation puts the volume at 665 Å³ per cell. As for the electronic total energy: -7.078 eV per atom.

DFT (PBE) results for a relaxed structure of SrTcNi2.

Geometry as CIF:
```
data_SrTcNi2
_chemical_formula_sum 'Sr1 Tc1 Ni2'
_space_group_name_H-M_alt 'P 1 2/m 1'
_space_group_IT_number 10
_cell_length_a 2.8381
_cell_length_b 3.5054
_cell_length_c 6.8867
_cell_angle_alpha 90.00
_cell_angle_beta 90.14
_cell_angle_gamma 90.00
loop_
_space_group_symop_operation_xyz
'x,y,z'
'-x,-y,-z'
'-x,y,-z'
'x,-y,z'
loop_
_atom_site_label
_atom_site_type_symbol
_atom_site_fract_x
_atom_site_fract_y
_atom_site_fract_z
_atom_site_occupancy
Sr1 Sr 0.0000 0.0000 0.0000 1
Tc1 Tc 0.0000 0.0000 0.5000 1
Ni1 Ni 0.4993 0.5000 0.3235 1
```

For the energy above the lowest structure with this stoichiometry, the calculation gives 187 meV per atom. Its formation enthalpy at 0 K is 0.315 eV per atom. The calculation puts the volume at 69 Å³ per cell. As for the electronic total energy: -5.587 eV per atom.

DFT (PBE) results for a relaxed structure of Nd6Ho3Er2Tl.

Geometry as CIF:
```
data_Nd6Ho3Er2Tl
_chemical_formula_sum 'Nd12 Ho6 Er4 Tl2'
_space_group_name_H-M_alt 'C 1 2/m 1'
_space_group_IT_number 12
_cell_length_a 6.1992
_cell_length_b 10.7717
_cell_length_c 11.7878
_cell_angle_alpha 90.00
_cell_angle_beta 100.26
_cell_angle_gamma 90.00
loop_
_space_group_symop_operation_xyz
'x,y,z'
'-x,-y,-z'
'-x,y,-z'
'x,-y,z'
'x+1/2,y+1/2,z'
'-x+1/2,-y+1/2,-z'
'-x+1/2,y+1/2,-z'
'x+1/2,-y+1/2,z'
loop_
_atom_site_label
_atom_site_type_symbol
_atom_site_fract_x
_atom_site_fract_y
_atom_site_fract_z
_atom_site_occupancy
Nd1 Nd 0.2459 0.0000 0.2503 1
Nd2 Nd 0.2467 0.1644 0.7480 1
Ho1 Ho 0.0000 0.1677 0.0000 1
Ho2 Ho 0.0000 0.5000 0.0000 1
Er1 Er 0.0000 0.3339 0.5000 1
Tl1 Tl 0.0000 0.0000 0.5000 1
```

Its formation enthalpy at 0 K is -0.006 eV per atom. The calculation puts the volume at 775 Å³ per cell. As for the electronic total energy: -4.492 eV per atom.

DFT (PBE) results for a relaxed structure of Te3Rh2Cl.

Geometry as CIF:
```
data_Te3Rh2Cl
_chemical_formula_sum 'Te12 Rh8 Cl4'
_space_group_name_H-M_alt 'C 1 2/m 1'
_space_group_IT_number 12
_cell_length_a 16.6222
_cell_length_b 3.7830
_cell_length_c 12.4516
_cell_angle_alpha 90.00
_cell_angle_beta 127.19
_cell_angle_gamma 90.00
loop_
_space_group_symop_operation_xyz
'x,y,z'
'-x,-y,-z'
'-x,y,-z'
'x,-y,z'
'x+1/2,y+1/2,z'
'-x+1/2,-y+1/2,-z'
'-x+1/2,y+1/2,-z'
'x+1/2,-y+1/2,z'
loop_
_atom_site_label
_atom_site_type_symbol
_atom_site_fract_x
_atom_site_fract_y
_atom_site_fract_z
_atom_site_occupancy
Te1 Te 0.0619 0.0000 0.1846 1
Te2 Te 0.1901 0.5000 0.0515 1
Te3 Te 0.1942 0.0000 0.5579 1
Rh1 Rh 0.1212 0.0000 0.8749 1
Rh2 Rh 0.1242 0.5000 0.3694 1
Cl1 Cl 0.0569 0.5000 0.6990 1
```

The uncorrected formation energy is -400 meV per atom. The calculation puts the volume at 624 Å³ per cell. As for the electronic total energy: -4.729 eV per atom.

Question: What is the volume in the sixth record?
Answer: 69 Å³ per cell